# 1
# RbVAs2Os PBE relaxed
# * calculated total energy: -27.84 eV per formula unit
# * DFT formation energy: 0.55 eV per atom
# * N(E_F): 4.1 states/eV/f.u.
# * space-group type: P4/mmm, No. 123
# * size of the total moment: 3.2 μB per formula unit
data_RbVAs2Os
_chemical_formula_sum 'Rb1 V1 As2 Os1'
_symmetry_space_group_name_H-M 'P 1'
_symmetry_Int_Tables_number 1
_cell_length_a 4.881
_cell_length_b 5.121
_cell_length_c 4.881
_cell_angle_alpha 90.00
_cell_angle_beta 90.00
_cell_angle_gamma 90.00
loop_
_symmetry_equiv_pos_as_xyz
'x,y,z'
loop_
_atom_site_label
_atom_site_type_symbol
_atom_site_fract_x
_atom_site_fract_y
_atom_site_fract_z
As1 As 0.500 0.000 0.000
As2 As 0.000 0.000 0.500
V1 V 0.000 0.500 0.000
Rb1 Rb 0.500 0.500 0.500
Os1 Os 0.000 0.000 0.000


# 2
# ReAs2Os PBE relaxed
# * calculated total energy: -30.10 eV per formula unit
# * DFT formation energy: 0.72 eV per atom
# * N(E_F): 5.6 states/eV/f.u.
# * space-group type: I-42d, No. 122
# * polymorph energy (0 for the lowest one): 0.613 eV per atom
# * size of the total moment: 0.0 μB per formula unit
data_ReAs2Os
_chemical_formula_sum 'Re2 As4 Os2'
_symmetry_space_group_name_H-M 'P 1'
_symmetry_Int_Tables_number 1
_cell_length_a 5.562
_cell_length_b 5.562
_cell_length_c 6.750
_cell_angle_alpha 65.67
_cell_angle_beta 65.67
_cell_angle_gamma 90.00
loop_
_symmetry_equiv_pos_as_xyz
'x,y,z'
loop_
_atom_site_label
_atom_site_type_symbol
_atom_site_fract_x
_atom_site_fract_y
_atom_site_fract_z
As1 As 0.375 0.371 0.750
As2 As 0.875 0.879 0.750
As3 As 0.629 0.125 0.250
As4 As 0.121 0.625 0.250
Os1 Os 0.750 0.250 0.500
Os2 Os 0.000 0.000 0.000
Re1 Re 0.250 0.750 0.500
Re2 Re 0.500 0.500 0.000


# 3
# Re2AsOs PBE relaxed
# * calculated total energy: -39.88 eV per formula unit
# * DFT formation energy: 0.22 eV per atom
# * N(E_F): 2.1 states/eV/f.u.
# * space-group type: R3m, No. 160
# * size of the total moment: 0.0 μB per formula unit
data_Re2AsOs
_chemical_formula_sum 'Re2 As1 Os1'
_symmetry_space_group_name_H-M 'P 1'
_symmetry_Int_Tables_number 1
_cell_length_a 8.690
_cell_length_b 8.690
_cell_length_c 8.690
_cell_angle_alpha 18.79
_cell_angle_beta 18.79
_cell_angle_gamma 18.79
loop_
_symmetry_equiv_pos_as_xyz
'x,y,z'
loop_
_atom_site_label
_atom_site_type_symbol
_atom_site_fract_x
_atom_site_fract_y
_atom_site_fract_z
Os1 Os 0.751 0.751 0.751
Re1 Re 0.000 0.000 0.000
Re2 Re 0.248 0.248 0.248
As1 As 0.500 0.500 0.500


# 4
# Re2AsOs PBE relaxed
# * calculated total energy: -38.03 eV per formula unit
# * DFT formation energy: 0.69 eV per atom
# * N(E_F): 4.1 states/eV/f.u.
# * space-group type: Cmmm, No. 65
# * size of the total moment: 0.0 μB per formula unit
data_Re2AsOs
_chemical_formula_sum 'Re2 As1 Os1'
_symmetry_space_group_name_H-M 'P 1'
_symmetry_Int_Tables_number 1
_cell_length_a 2.741
_cell_length_b 2.741
_cell_length_c 9.510
_cell_angle_alpha 90.00
_cell_angle_beta 90.00
_cell_angle_gamma 118.28
loop_
_symmetry_equiv_pos_as_xyz
'x,y,z'
loop_
_atom_site_label
_atom_site_type_symbol
_atom_site_fract_x
_atom_site_fract_y
_atom_site_fract_z
Os1 Os 0.500 0.500 0.750
As1 As 0.500 0.500 0.250
Re1 Re 0.000 0.000 0.513
Re2 Re 0.000 0.000 0.987